Version i
# TlB2As

An optimized crystal structure of TlB2As (PBE, Alexandria).

Output
Size of the total moment   0.00 Bohr magnetons per cell
D(E_F)   1.6 states/eV per cell
Symmetry   Fm-3m

Unit cell a=4.4555 b=4.4555 c=4.4555 alpha=60.00 beta=60.00 gamma=60.00
Closest atoms and distances in Å follow each position.
Element x y z (fractional)
Tl (0.0000, 0.0000, 0.0000)  8 B 2.73
B (0.2500, 0.2500, 0.2500)  4 Tl 2.73, 4 As 2.73
B (0.7500, 0.7500, 0.7500)  4 As 2.73, 4 Tl 2.73
As (0.5000, 0.5000, 0.5000)  8 B 2.73



Version ii
# TlB2As

An optimized crystal structure of TlB2As (PBE, Alexandria).

Output
Size of the total moment   0.00 Bohr magnetons per cell
D(E_F)   1.5 states/eV per cell
Symmetry   I-42d

Unit cell a=6.0583 b=6.0583 c=6.0583 alpha=128.07 beta=128.07 gamma=76.51
Closest atoms and distances in Å follow each position.
Element x y z (fractional)
Tl (0.0000, 0.0000, 0.0000)  4 B 2.39
Tl (0.7500, 0.2500, 0.5000)  4 B 2.39
B (0.1751, 0.6250, 0.0501)  2 As 2.07
B (0.3750, 0.4251, 0.5501)  2 As 2.07
B (0.5749, 0.1250, 0.9499)  2 As 2.07
B (0.8750, 0.8249, 0.4499)  2 As 2.07
As (0.2500, 0.7500, 0.5000)  4 B 2.07
As (0.5000, 0.5000, 0.0000)  4 B 2.07



Most stable structure - version ii; separation to the second - 89.2 kJ/mol of atoms.



Version i
# TlBAs3

An optimized crystal structure of TlBAs3 (PBE, Alexandria).

Output
Size of the total moment   0.00 Bohr magnetons per cell
D(E_F)   5.5 states/eV per cell
Symmetry   Pm-3m

Unit cell a=5.3444 b=5.3444 c=5.3444 alpha=90.00 beta=90.00 gamma=90.00
Closest atoms and distances in Å follow each position.
Element x y z (fractional)
Tl (0.0000, 0.0000, 0.0000)  6 As 2.67
B (0.5000, 0.5000, 0.5000)  12 As 3.78
As (0.0000, 0.0000, 0.5000)  2 Tl 2.67
As (0.0000, 0.5000, 0.0000)  2 Tl 2.67
As (0.5000, 0.0000, 0.0000)  2 Tl 2.67



Version ii
# TlBAs3

An optimized crystal structure of TlBAs3 (PBE, Alexandria).

Output
Size of the total moment   0.00 Bohr magnetons per cell
D(E_F)   3.6 states/eV per cell
Symmetry   Pm-3m

Unit cell a=4.6034 b=4.6034 c=4.6034 alpha=90.00 beta=90.00 gamma=90.00
Closest atoms and distances in Å follow each position.
Element x y z (fractional)
Tl (0.0000, 0.0000, 0.0000)  12 As 3.26
B (0.5000, 0.5000, 0.5000)  6 As 2.30
As (0.0000, 0.5000, 0.5000)  2 B 2.30
As (0.5000, 0.0000, 0.5000)  2 B 2.30
As (0.5000, 0.5000, 0.0000)  2 B 2.30



Most stable structure - version ii; separation to the second - 125.7 kJ/mol of atoms.



Version i
# V2BAs

An optimized crystal structure of V2BAs (PBE, Alexandria).

Output
Size of the total moment   0.00 Bohr magnetons per cell
D(E_F)   6.7 states/eV per cell
Symmetry   I-42d

Unit cell a=6.2364 b=6.2364 c=6.2364 alpha=131.95 beta=131.95 gamma=70.30
Closest atoms and distances in Å follow each position.
Element x y z (fractional)
V (0.0512, 0.6250, 0.9262)  2 B 2.01
V (0.3750, 0.3012, 0.4262)  2 B 2.01
V (0.6988, 0.1250, 0.0738)  2 B 2.01
V (0.8750, 0.9488, 0.5738)  2 B 2.01
B (0.0000, 0.0000, 0.0000)  4 V 2.01
B (0.7500, 0.2500, 0.5000)  4 V 2.01
As (0.2500, 0.7500, 0.5000)  4 V 2.44
As (0.5000, 0.5000, 0.0000)  4 V 2.44



Version ii
# V2BAs

An optimized crystal structure of V2BAs (PBE, Alexandria).

Output
Size of the total moment   0.00 Bohr magnetons per cell
D(E_F)   5.4 states/eV per cell
Symmetry   Fm-3m

Unit cell a=4.0858 b=4.0858 c=4.0858 alpha=60.00 beta=60.00 gamma=60.00
Closest atoms and distances in Å follow each position.
Element x y z (fractional)
V (0.2500, 0.2500, 0.2500)  4 As 2.50, 4 B 2.50
V (0.7500, 0.7500, 0.7500)  4 As 2.50, 4 B 2.50
B (0.0000, 0.0000, 0.0000)  8 V 2.50
As (0.5000, 0.5000, 0.5000)  8 V 2.50



Most stable structure - version ii; separation to the second - 24.6 kJ/mol of atoms.



Version i
# VB3As

An optimized crystal structure of VB3As (PBE, Alexandria).

Output
Size of the total moment   0.00 Bohr magnetons per cell
D(E_F)   4.0 states/eV per cell
Symmetry   Pm-3m

Unit cell a=4.0138 b=4.0138 c=4.0138 alpha=90.00 beta=90.00 gamma=90.00
Closest atoms and distances in Å follow each position.
Element x y z (fractional)
V (0.0000, 0.0000, 0.0000)  6 B 2.01
B (0.0000, 0.0000, 0.5000)  2 V 2.01
B (0.0000, 0.5000, 0.0000)  2 V 2.01
B (0.5000, 0.0000, 0.0000)  2 V 2.01
As (0.5000, 0.5000, 0.5000)  12 B 2.84



Version ii
# VB3As

An optimized crystal structure of VB3As (PBE, Alexandria).

Output
Size of the total moment   2.50 Bohr magnetons per cell
D(E_F)   4.7 states/eV per cell
Symmetry   Pm-3m

Unit cell a=4.0402 b=4.0402 c=4.0402 alpha=90.00 beta=90.00 gamma=90.00
Closest atoms and distances in Å follow each position.
Element x y z (fractional)
V (0.0000, 0.0000, 0.0000)  12 B 2.86
B (0.0000, 0.5000, 0.5000)  2 As 2.02
B (0.5000, 0.0000, 0.5000)  2 As 2.02
B (0.5000, 0.5000, 0.0000)  2 As 2.02
As (0.5000, 0.5000, 0.5000)  6 B 2.02



Most stable structure - version i; separation to the second - 43.2 kJ/mol of atoms.



Version i
# VBAs3

An optimized crystal structure of VBAs3 (PBE, Alexandria).

Output
Size of the total moment   0.00 Bohr magnetons per cell
D(E_F)   2.0 states/eV per cell
Symmetry   Pm-3m

Unit cell a=4.7048 b=4.7048 c=4.7048 alpha=90.00 beta=90.00 gamma=90.00
Closest atoms and distances in Å follow each position.
Element x y z (fractional)
V (0.0000, 0.0000, 0.0000)  6 As 2.35
B (0.5000, 0.5000, 0.5000)  12 As 3.33
As (0.0000, 0.0000, 0.5000)  2 V 2.35
As (0.0000, 0.5000, 0.0000)  2 V 2.35
As (0.5000, 0.0000, 0.0000)  2 V 2.35



Version ii
# VBAs3

An optimized crystal structure of VBAs3 (PBE, Alexandria).

Output
Size of the total moment   3.13 Bohr magnetons per cell
D(E_F)   6.5 states/eV per cell
Symmetry   Pm-3m

Unit cell a=4.3839 b=4.3839 c=4.3839 alpha=90.00 beta=90.00 gamma=90.00
Closest atoms and distances in Å follow each position.
Element x y z (fractional)
V (0.0000, 0.0000, 0.0000)  12 As 3.10
B (0.5000, 0.5000, 0.5000)  6 As 2.19
As (0.0000, 0.5000, 0.5000)  2 B 2.19
As (0.5000, 0.0000, 0.5000)  2 B 2.19
As (0.5000, 0.5000, 0.0000)  2 B 2.19



Most stable structure - version ii; separation to the second - 20.3 kJ/mol of atoms.



Version i
# BAsW2

An optimized crystal structure of BAsW2 (PBE, Alexandria).

Output
Size of the total moment   0.00 Bohr magnetons per cell
D(E_F)   6.4 states/eV per cell
Symmetry   I-42d

Unit cell a=6.8820 b=6.8820 c=6.8820 alpha=138.34 beta=138.34 gamma=60.39
Closest atoms and distances in Å follow each position.
Element x y z (fractional)
B (0.0000, 0.0000, 0.0000)  4 W 2.09
B (0.7500, 0.2500, 0.5000)  4 W 2.09
As (0.2500, 0.7500, 0.5000)  4 W 2.53
As (0.5000, 0.5000, 0.0000)  4 W 2.53
W (0.0384, 0.6250, 0.9134)  2 B 2.09
W (0.3750, 0.2884, 0.4134)  2 B 2.09
W (0.7116, 0.1250, 0.0866)  2 B 2.09
W (0.8750, 0.9616, 0.5866)  2 B 2.09



Version ii
# BAsW2

An optimized crystal structure of BAsW2 (PBE, Alexandria).

Output
Size of the total moment   0.00 Bohr magnetons per cell
D(E_F)   3.1 states/eV per cell
Symmetry   Fm-3m

Unit cell a=4.2325 b=4.2325 c=4.2325 alpha=60.00 beta=60.00 gamma=60.00
Closest atoms and distances in Å follow each position.
Element x y z (fractional)
B (0.0000, 0.0000, 0.0000)  8 W 2.59
As (0.5000, 0.5000, 0.5000)  8 W 2.59
W (0.2500, 0.2500, 0.2500)  4 As 2.59, 4 B 2.59
W (0.7500, 0.7500, 0.7500)  4 As 2.59, 4 B 2.59



Most stable structure - version ii; separation to the second - 33.1 kJ/mol of atoms.



Version i
# YB3As

An optimized crystal structure of YB3As (PBE, Alexandria).

Output
Size of the total moment   0.00 Bohr magnetons per cell
D(E_F)   2.0 states/eV per cell
Symmetry   Pm-3m

Unit cell a=4.1600 b=4.1600 c=4.1600 alpha=90.00 beta=90.00 gamma=90.00
Closest atoms and distances in Å follow each position.
Element x y z (fractional)
Y (0.0000, 0.0000, 0.0000)  12 B 2.94
B (0.0000, 0.5000, 0.5000)  2 As 2.08
B (0.5000, 0.0000, 0.5000)  2 As 2.08
B (0.5000, 0.5000, 0.0000)  2 As 2.08
As (0.5000, 0.5000, 0.5000)  6 B 2.08



Version ii
# YB3As

An optimized crystal structure of YB3As (PBE, Alexandria).

Output
Size of the total moment   0.00 Bohr magnetons per cell
D(E_F)   3.1 states/eV per cell
Symmetry   Pm-3m

Unit cell a=4.6695 b=4.6695 c=4.6695 alpha=90.00 beta=90.00 gamma=90.00
Closest atoms and distances in Å follow each position.
Element x y z (fractional)
Y (0.0000, 0.0000, 0.0000)  6 B 2.33
B (0.0000, 0.0000, 0.5000)  2 Y 2.33
B (0.0000, 0.5000, 0.0000)  2 Y 2.33
B (0.5000, 0.0000, 0.0000)  2 Y 2.33
As (0.5000, 0.5000, 0.5000)  12 B 3.30



Most stable structure - version i; separation to the second - 115.5 kJ/mol of atoms.



Version i
# Y2BAs

An optimized crystal structure of Y2BAs (PBE, Alexandria).

Output
Size of the total moment   0.00 Bohr magnetons per cell
D(E_F)   4.7 states/eV per cell
Symmetry   Fm-3m

Unit cell a=4.8557 b=4.8557 c=4.8557 alpha=60.00 beta=60.00 gamma=60.00
Closest atoms and distances in Å follow each position.
Element x y z (fractional)
Y (0.2500, 0.2500, 0.2500)  4 As 2.97, 4 B 2.97
Y (0.7500, 0.7500, 0.7500)  4 As 2.97, 4 B 2.97
B (0.0000, 0.0000, 0.0000)  8 Y 2.97
As (0.5000, 0.5000, 0.5000)  8 Y 2.97



Version ii
# Y2BAs

An optimized crystal structure of Y2BAs (PBE, Alexandria).

Output
Size of the total moment   0.00 Bohr magnetons per cell
D(E_F)   4.4 states/eV per cell
Symmetry   I-42d

Unit cell a=6.1439 b=6.1439 c=6.1439 alpha=108.53 beta=108.53 gamma=111.37
Closest atoms and distances in Å follow each position.
Element x y z (fractional)
Y (0.0916, 0.1250, 0.4666)  2 B 2.53
Y (0.3750, 0.9084, 0.0334)  2 B 2.53
Y (0.6584, 0.6250, 0.5334)  2 B 2.53
Y (0.8750, 0.3416, 0.9666)  2 B 2.53
B (0.0000, 0.0000, 0.0000)  4 Y 2.53
B (0.7500, 0.2500, 0.5000)  4 Y 2.53
As (0.2500, 0.7500, 0.5000)  4 Y 2.85
As (0.5000, 0.5000, 0.0000)  4 Y 2.85



Most stable structure - version ii; separation to the second - 10.9 kJ/mol of atoms.



Version i
# ZnBAs3

An optimized crystal structure of ZnBAs3 (PBE, Alexandria).

Output
Size of the total moment   0.00 Bohr magnetons per cell
D(E_F)   3.9 states/eV per cell
Symmetry   Pm-3m

Unit cell a=4.4339 b=4.4339 c=4.4339 alpha=90.00 beta=90.00 gamma=90.00
Closest atoms and distances in Å follow each position.
Element x y z (fractional)
Zn (0.0000, 0.0000, 0.0000)  12 As 3.14
B (0.5000, 0.5000, 0.5000)  6 As 2.22
As (0.0000, 0.5000, 0.5000)  2 B 2.22
As (0.5000, 0.0000, 0.5000)  2 B 2.22
As (0.5000, 0.5000, 0.0000)  2 B 2.22



Version ii
# ZnBAs3

An optimized crystal structure of ZnBAs3 (PBE, Alexandria).

Output
Size of the total moment   0.00 Bohr magnetons per cell
D(E_F)   3.3 states/eV per cell
Symmetry   Pm-3m

Unit cell a=4.8240 b=4.8240 c=4.8240 alpha=90.00 beta=90.00 gamma=90.00
Closest atoms and distances in Å follow each position.
Element x y z (fractional)
Zn (0.0000, 0.0000, 0.0000)  6 As 2.41
B (0.5000, 0.5000, 0.5000)  12 As 3.41
As (0.0000, 0.0000, 0.5000)  2 Zn 2.41
As (0.0000, 0.5000, 0.0000)  2 Zn 2.41
As (0.5000, 0.0000, 0.0000)  2 Zn 2.41



Most stable structure - version i; separation to the second - 73.4 kJ/mol of atoms.



Version i
# ZnB2As

An optimized crystal structure of ZnB2As (PBE, Alexandria).

Output
Size of the total moment   0.00 Bohr magnetons per cell
D(E_F)   1.4 states/eV per cell
Symmetry   Fm-3m

Unit cell a=4.0888 b=4.0888 c=4.0888 alpha=60.00 beta=60.00 gamma=60.00
Closest atoms and distances in Å follow each position.
Element x y z (fractional)
Zn (0.0000, 0.0000, 0.0000)  8 B 2.50
B (0.2500, 0.2500, 0.2500)  4 As 2.50, 4 Zn 2.50
B (0.7500, 0.7500, 0.7500)  4 As 2.50, 4 Zn 2.50
As (0.5000, 0.5000, 0.5000)  8 B 2.50



Version ii
# ZnB2As

An optimized crystal structure of ZnB2As (PBE, Alexandria).

Output
Size of the total moment   0.00 Bohr magnetons per cell
D(E_F)   5.2 states/eV per cell
Symmetry   I-42d

Unit cell a=5.7447 b=5.7447 c=5.7447 alpha=127.81 beta=127.81 gamma=76.94
Closest atoms and distances in Å follow each position.
Element x y z (fractional)
Zn (0.0000, 0.0000, 0.0000)  4 B 2.18
Zn (0.7500, 0.2500, 0.5000)  4 B 2.18
B (0.1459, 0.6250, 0.0209)  2 As 2.05, 2 Zn 2.18
B (0.3750, 0.3959, 0.5209)  2 As 2.05, 2 Zn 2.18
B (0.6041, 0.1250, 0.9791)  2 As 2.05, 2 Zn 2.18
B (0.8750, 0.8541, 0.4791)  2 As 2.05, 2 Zn 2.18
As (0.2500, 0.7500, 0.5000)  4 B 2.05
As (0.5000, 0.5000, 0.0000)  4 B 2.05



Most stable structure - version ii; separation to the second - 67.2 kJ/mol of atoms.



Version i
# ZrB3As

An optimized crystal structure of ZrB3As (PBE, Alexandria).

Output
Size of the total moment   0.00 Bohr magnetons per cell
D(E_F)   4.1 states/eV per cell
Symmetry   Pm-3m

Unit cell a=4.4548 b=4.4548 c=4.4548 alpha=90.00 beta=90.00 gamma=90.00
Closest atoms and distances in Å follow each position.
Element x y z (fractional)
Zr (0.0000, 0.0000, 0.0000)  6 B 2.23
B (0.0000, 0.0000, 0.5000)  2 Zr 2.23
B (0.0000, 0.5000, 0.0000)  2 Zr 2.23
B (0.5000, 0.0000, 0.0000)  2 Zr 2.23
As (0.5000, 0.5000, 0.5000)  12 B 3.15



Version ii
# ZrB3As

An optimized crystal structure of ZrB3As (PBE, Alexandria).

Output
Size of the total moment   0.00 Bohr magnetons per cell
D(E_F)   3.4 states/eV per cell
Symmetry   Pm-3m

Unit cell a=4.0613 b=4.0613 c=4.0613 alpha=90.00 beta=90.00 gamma=90.00
Closest atoms and distances in Å follow each position.
Element x y z (fractional)
Zr (0.0000, 0.0000, 0.0000)  12 B 2.87
B (0.0000, 0.5000, 0.5000)  2 As 2.03
B (0.5000, 0.0000, 0.5000)  2 As 2.03
B (0.5000, 0.5000, 0.0000)  2 As 2.03
As (0.5000, 0.5000, 0.5000)  6 B 2.03



Most stable structure - version ii; separation to the second - 56.2 kJ/mol of atoms.



Version i
# ZrBAs3

An optimized crystal structure of ZrBAs3 (PBE, Alexandria).

Output
Size of the total moment   0.00 Bohr magnetons per cell
D(E_F)   3.4 states/eV per cell
Symmetry   Pm-3m

Unit cell a=4.4415 b=4.4415 c=4.4415 alpha=90.00 beta=90.00 gamma=90.00
Closest atoms and distances in Å follow each position.
Element x y z (fractional)
Zr (0.0000, 0.0000, 0.0000)  12 As 3.14
B (0.5000, 0.5000, 0.5000)  6 As 2.22
As (0.0000, 0.5000, 0.5000)  2 B 2.22
As (0.5000, 0.0000, 0.5000)  2 B 2.22
As (0.5000, 0.5000, 0.0000)  2 B 2.22



Version ii
# ZrBAs3

An optimized crystal structure of ZrBAs3 (PBE, Alexandria).

Output
Size of the total moment   0.00 Bohr magnetons per cell
D(E_F)   3.5 states/eV per cell
Symmetry   Pm-3m

Unit cell a=5.1768 b=5.1768 c=5.1768 alpha=90.00 beta=90.00 gamma=90.00
Closest atoms and distances in Å follow each position.
Element x y z (fractional)
Zr (0.0000, 0.0000, 0.0000)  6 As 2.59
B (0.5000, 0.5000, 0.5000)  12 As 3.66
As (0.0000, 0.0000, 0.5000)  2 Zr 2.59
As (0.0000, 0.5000, 0.0000)  2 Zr 2.59
As (0.5000, 0.0000, 0.0000)  2 Zr 2.59



Most stable structure - version i; separation to the second - 70.2 kJ/mol of atoms.